Record 1
A relaxed structure of KNa2TlHg, computed with GGA-PBE.

## Properties
The total energy comes out at -1.338 eV/atom. Its polymorph energy (0 for the lowest one) is 0.0000 eV per atom. The value obtained for the theoretical density is 4.02 g/cm³.

Unit cell a=5.924 b=5.924 c=5.770 alpha=90.00 beta=90.00 gamma=90.00
Fractional coordinates of all 5 atoms:
K  0.000  0.000  0.000
Na  0.000  0.500  0.500
Na  0.500  0.000  0.500
Tl  0.500  0.500  0.000
Hg  0.500  0.500  0.500

Record 2
A relaxed structure of Na3SnIr, computed with GGA-PBE.

## Properties
The total energy comes out at -2.572 eV/atom. The value obtained for the theoretical density is 4.09 g/cm³.

Unit cell a=5.362 b=5.362 c=5.362 alpha=90.00 beta=90.00 gamma=90.00
Fractional coordinates of all 5 atoms:
Na  0.000  0.000  0.500
Na  0.000  0.500  0.000
Na  0.500  0.000  0.000
Sn  0.500  0.500  0.500
Ir  0.000  0.000  0.000

> The highest theoretical density belongs to which entry?

Na3SnIr